Version i
Below is a relaxed structure of MgAg3Au2, with properties calculated at the PBE level.

Lattice parameters (Å, degrees): 19.2990 2.9181 8.3401 90.00 109.00 90.00
With the nearest neighbours (Å) after each atom.
Space group C2/m (No. 12)
Symmetry-distinct sites (fractional):
1 Mg 0.1742 0.0000 0.0384 (multiplicity 4)  3 Au 2.70-2.84, 5 Ag 2.73-3.00, 2 Mg 2.92
2 Ag 0.0604 0.0000 0.4439 (multiplicity 4)  8 Ag 2.78-3.02, 3 Au 2.82-3.02
3 Ag 0.0688 0.5000 0.7668 (multiplicity 4)  2 Mg 2.90, 8 Ag 2.92-3.02, 2 Au 3.01-3.06
4 Ag 0.1960 0.0000 0.7306 (multiplicity 4)  3 Mg 2.73-3.00, 5 Ag 2.91-2.95, 3 Au 2.94-2.96
5 Au 0.0673 0.5000 0.1326 (multiplicity 4)  5 Au 2.81-2.99, 2 Mg 2.84, 4 Ag 3.01-3.06
6 Au 0.1936 0.0000 0.3735 (multiplicity 4)  1 Mg 2.70, 4 Ag 2.82-2.96, 6 Au 2.89-2.99

Properties
crystal system: monoclinic


Version ii
Below is a relaxed structure of MgAg3Au2, with properties calculated at the PBE level.

Lattice parameters (Å, degrees): 4.0952 12.2752 4.2707 90.00 90.00 90.00
With the nearest neighbours (Å) after each atom.
Space group Pmmn (No. 59, origin choice 2)
Symmetry-distinct sites (fractional):
1 Mg 0.2500 0.2500 0.0012 (multiplicity 2)  4 Au 2.85, 8 Ag 2.96-2.97
2 Ag 0.2500 0.0824 0.5005 (multiplicity 4)  4 Ag 2.88-2.90, 6 Au 2.96-2.99, 2 Mg 2.96-2.97
3 Ag 0.2500 0.7500 0.4991 (multiplicity 2)  4 Ag 2.90, 4 Au 2.91-2.92, 4 Mg 2.96
4 Au 0.2500 0.5882 0.9995 (multiplicity 4)  2 Mg 2.85, 8 Ag 2.91-2.99, 2 Au 2.98

Properties
crystal system: orthorhombic


Which of them is least stable? Easy: version i.